(1)
Compound: MgBeN2
Source: Alexandria via LeMat-Bulk
Functional: meta-GGA SCAN
Structure: single point on PBEsol structure

a = 5.071 Å, b = 5.071 Å, c = 5.071 Å
α = 90.00°, β = 90.00°, γ = 90.00°
Space group Fm-3m (No. 225)
Unique sites:
Mg1 0.000 0.000 0.000 [4 per cell]
Be1 0.000 0.000 0.500 [4 per cell]
N1 0.250 0.250 0.250 [8 per cell]

Computed properties:
spin magnetization: 0.499 μB/f.u.
formation energy (no corrections): 0.46 eV per atom
final energy: -26.08 eV per formula unit


(2)
Compound: TeMoRh
Source: Alexandria via LeMat-Bulk
Functional: meta-GGA SCAN
Structure: single point on PBEsol structure

a = 6.135 Å, b = 6.135 Å, c = 6.135 Å
α = 90.00°, β = 90.00°, γ = 90.00°
Space group F-43m (No. 216)
Unique sites:
Te1 0.000 0.000 0.000 [4 per cell]
Mo1 0.250 0.250 0.750 [4 per cell]
Rh1 0.000 0.000 0.500 [4 per cell]

Computed properties:
spin magnetization: 0.000 μB/f.u.
formation energy (no corrections): 0.19 eV per atom
final energy: -105.33 eV per formula unit


(3)
Compound: NaSr3Hg
Source: Alexandria via LeMat-Bulk
Functional: meta-GGA SCAN
Structure: single point on PBEsol structure

a = 6.236 Å, b = 6.236 Å, c = 6.236 Å
α = 90.00°, β = 90.00°, γ = 90.00°
Space group Pm-3m (No. 221)
Unique sites:
Na1 0.000 0.000 0.000 [1 per cell]
Sr1 0.000 0.500 0.500 [3 per cell]
Hg1 0.500 0.500 0.500 [1 per cell]

Computed properties:
spin magnetization: 0.000 μB/f.u.
final energy: -140.42 eV per formula unit
formation energy: -1.2 eV per formula unit


(4)
Compound: ZrTaSi2
Source: Alexandria via LeMat-Bulk
Functional: meta-GGA SCAN
Structure: single point on PBEsol structure

a = 6.373 Å, b = 6.373 Å, c = 6.373 Å
α = 90.00°, β = 90.00°, γ = 90.00°
Space group F-43m (No. 216)
Unique sites:
Zr1 0.000 0.000 0.000 [4 per cell]
Ta1 0.250 0.250 0.250 [4 per cell]
Si1 0.000 0.000 0.500 [4 per cell]
Si2 0.250 0.250 0.750 [4 per cell]

Computed properties:
spin magnetization: 0.000 μB/f.u.
formation energy (no corrections): 0.22 eV per atom
energy above the lowest structure with this stoichiometry: 0.852 eV per atom
final energy: -116.42 eV per formula unit


(5)
Compound: LiCo2Re
Source: Alexandria via LeMat-Bulk
Functional: meta-GGA SCAN
Structure: single point on PBEsol structure

a = 5.666 Å, b = 5.666 Å, c = 5.666 Å
α = 90.00°, β = 90.00°, γ = 90.00°
Space group Fm-3m (No. 225)
Unique sites:
Li1 0.000 0.000 0.000 [4 per cell]
Co1 0.250 0.250 0.250 [8 per cell]
Re1 0.000 0.000 0.500 [4 per cell]

Computed properties:
spin magnetization: 2.019 μB/f.u.
energy above the lowest structure with this stoichiometry: 0.000 eV per atom
final energy: -107.50 eV per formula unit
formation energy: 0.6 eV per formula unit


(6)
Compound: Sr2NiO3F
Source: Alexandria via LeMat-Bulk
Functional: meta-GGA SCAN
Structure: single point on PBEsol structure

a = 3.718 Å, b = 3.718 Å, c = 13.085 Å
α = 90.00°, β = 90.00°, γ = 90.00°
Space group I4mm (No. 107)
Unique sites:
Sr1 0.000 0.000 0.000 [2 per cell]
Sr2 0.000 0.000 0.273 [2 per cell]
Ni1 0.000 0.000 0.658 [2 per cell]
O1 0.000 0.000 0.806 [2 per cell]
O2 0.000 0.500 0.132 [4 per cell]
F1 0.000 0.000 0.459 [2 per cell]

Computed properties:
spin magnetization: 0.996 μB/f.u.
formation energy (no corrections): -2.66 eV per atom
final energy: -101.58 eV per formula unit


(7)
Compound: Bi2Se3O10
Source: Alexandria via LeMat-Bulk
Functional: meta-GGA SCAN
Structure: single point on PBEsol structure

a = 15.847 Å, b = 7.487 Å, c = 7.979 Å
α = 90.00°, β = 112.21°, γ = 90.00°
Space group C2/c (No. 15)
Unique sites:
Bi1 0.181 0.146 0.147 [8 per cell]
Se1 0.000 0.116 0.750 [4 per cell]
Se2 0.125 0.427 0.471 [8 per cell]
O1 0.019 0.237 0.937 [8 per cell]
O2 0.095 0.007 0.309 [8 per cell]
O3 0.126 0.373 0.263 [8 per cell]
O4 0.191 0.265 0.615 [8 per cell]
O5 0.209 0.401 0.021 [8 per cell]

Computed properties:
spin magnetization: 0.000 μB/f.u.
formation energy (no corrections): -0.99 eV per atom
final energy: -294.59 eV per formula unit


(8)
Compound: Pm3Y
Source: Alexandria via LeMat-Bulk
Functional: meta-GGA SCAN
Structure: single point on PBEsol structure

a = 7.1805 Å, b = 7.1805 Å, c = 5.7360 Å
α = 90.00°, β = 90.00°, γ = 120.00°
Space group P6_3/mmc (No. 194)
Unique sites:
Pm1 0.1665 0.3330 0.2500 [6 per cell]
Y1 0.3333 0.6667 0.7500 [2 per cell]

Computed properties:
spin magnetization: 0.000 μB/f.u.
energy above the lowest structure with this stoichiometry: 0.008 eV per atom
final energy: -159.70 eV per formula unit
formation energy: 0.1 eV per formula unit


(9)
Compound: SiTc2Ru
Source: Alexandria via LeMat-Bulk
Functional: meta-GGA SCAN
Structure: single point on PBEsol structure

a = 2.7364 Å, b = 2.7364 Å, c = 24.8060 Å
α = 90.00°, β = 90.00°, γ = 120.00°
Space group R3m (No. 160, hexagonal axes)
Unique sites:
Si1 0.0000 0.0000 0.0000 [3 per cell]
Tc1 0.0000 0.0000 0.2511 [3 per cell]
Tc2 0.0000 0.0000 0.4995 [3 per cell]
Ru1 0.0000 0.0000 0.7434 [3 per cell]

Computed properties:
spin magnetization: 0.000 μB/f.u.
formation energy (no corrections): -0.13 eV per atom
final energy: -115.48 eV per formula unit


(10)
Compound: SrSiHg
Source: Alexandria via LeMat-Bulk
Functional: meta-GGA SCAN
Structure: single point on PBEsol structure

a = 16.590 Å, b = 3.892 Å, c = 4.834 Å
α = 90.00°, β = 106.50°, γ = 90.00°
Space group C2/m (No. 12)
Unique sites:
Sr1 0.138 0.000 0.383 [4 per cell]
Si1 0.209 0.500 0.935 [4 per cell]
Hg1 0.044 0.500 0.793 [4 per cell]

Computed properties:
spin magnetization: 0.000 μB/f.u.
formation energy (no corrections): -0.52 eV per atom
final energy: -102.03 eV per formula unit


(11)
Compound: Fe2AgWO
Source: Alexandria via LeMat-Bulk
Functional: meta-GGA SCAN
Structure: single point on PBEsol structure

a = 3.917 Å, b = 3.917 Å, c = 3.993 Å
α = 90.00°, β = 90.00°, γ = 90.00°
Space group P4/mmm (No. 123)
Unique sites:
Fe1 0.000 0.500 0.000 [2 per cell]
Ag1 0.000 0.000 0.500 [1 per cell]
W1 0.500 0.500 0.500 [1 per cell]
O1 0.500 0.500 0.000 [1 per cell]

Computed properties:
spin magnetization: 4.710 μB/f.u.
formation energy (no corrections): 0.11 eV per atom
final energy: -143.02 eV per formula unit


(12)
Compound: SrMg6Al
Source: Alexandria via LeMat-Bulk
Functional: meta-GGA SCAN
Structure: single point on PBEsol structure

a = 4.925 Å, b = 6.205 Å, c = 13.219 Å
α = 90.00°, β = 90.00°, γ = 90.00°
Space group Amm2 (No. 38)
Unique sites:
Sr1 0.000 0.000 0.000 [2 per cell]
Mg1 0.000 0.240 0.735 [4 per cell]
Mg2 0.500 0.000 0.168 [2 per cell]
Mg3 0.500 0.000 0.595 [2 per cell]
Mg4 0.500 0.250 0.375 [4 per cell]
Al1 0.000 0.000 0.425 [2 per cell]

Computed properties:
spin magnetization: 0.000 μB/f.u.
final energy: -59.46 eV per formula unit
formation energy: 0.4 eV per formula unit


What did the eleventh record say?
Compound: Fe2AgWO
Source: Alexandria via LeMat-Bulk
Functional: meta-GGA SCAN
Structure: single point on PBEsol structure

a = 3.917 Å, b = 3.917 Å, c = 3.993 Å
α = 90.00°, β = 90.00°, γ = 90.00°
Space group P4/mmm (No. 123)
Unique sites:
Fe1 0.000 0.500 0.000 [2 per cell]
Ag1 0.000 0.000 0.500 [1 per cell]
W1 0.500 0.500 0.500 [1 per cell]
O1 0.500 0.500 0.000 [1 per cell]

Computed properties:
spin magnetization: 4.710 μB/f.u.
formation energy (no corrections): 0.11 eV per atom
final energy: -143.02 eV per formula unit